{
  "formula": "Nd4BPI2",
  "functional": "GGA-PBE",
  "state": "optimized geometry",
  "mass_density_g_cm3": 6.3,
  "final_energy_ev_per_atom": -5.28,
  "formation_energy_uncorrected_mev_per_atom": -996.3,
  "m_tot_mub_per_cell": 0.00,
  "lattice_angstrom": [[7.189, 0.000, 0.000], [0.000, 4.144, 0.000], [-2.383, 0.000, 7.754]],
  "species": ["Nd", "Nd", "Nd", "Nd", "B", "P", "I", "I"],
  "frac_coords": [[0.211, 0.000, 0.183], [0.255, 0.500, 0.813], [0.745, 0.500, 0.187], [0.789, 0.000, 0.817], [0.000, 0.500, 0.000], [0.500, 0.000, 0.000], [0.000, 0.000, 0.500], [0.500, 0.500, 0.500]]
}


{
  "formula": "CdGeI",
  "functional": "GGA-PBE",
  "state": "optimized geometry",
  "mass_density_g_cm3": 5.5,
  "final_energy_ev_per_atom": -2.48,
  "formation_energy_uncorrected_mev_per_atom": -117.4,
  "m_tot_mub_per_cell": 0.00,
  "lattice_angstrom": [[7.531, 0.000, 0.000], [0.000, 3.965, 0.000], [-0.465, 0.000, 12.617]],
  "species": ["Cd", "Cd", "Cd", "Cd", "Ge", "Ge", "Ge", "Ge", "I", "I", "I", "I"],
  "frac_coords": [[0.163, 0.000, 0.293], [0.337, 0.500, 0.707], [0.663, 0.500, 0.293], [0.837, 0.000, 0.707], [0.155, 0.500, 0.460], [0.345, 0.000, 0.540], [0.655, 0.000, 0.460], [0.845, 0.500, 0.540], [0.157, 0.000, 0.849], [0.343, 0.500, 0.151], [0.657, 0.500, 0.849], [0.843, 0.000, 0.151]]
}


{
  "formula": "Cd2Pt2Au7",
  "functional": "GGA-PBE",
  "state": "optimized geometry",
  "mass_density_g_cm3": 15.6,
  "e_form_ev_per_fu": -0.219,
  "final_energy_ev_per_atom": -3.37,
  "m_tot_mub_per_cell": 0.00,
  "lattice_angstrom": [[4.992, -4.184, 0.000], [4.992, 4.184, 0.000], [-1.130, 0.000, 5.083]],
  "species": ["Cd", "Cd", "Pt", "Pt", "Au", "Au", "Au", "Au", "Au", "Au", "Au"],
  "frac_coords": [[0.185, 0.815, 0.000], [0.815, 0.185, 0.000], [0.229, 0.229, 0.263], [0.771, 0.771, 0.737], [0.000, 0.000, 0.500], [0.071, 0.410, 0.750], [0.410, 0.071, 0.750], [0.495, 0.495, 0.746], [0.505, 0.505, 0.254], [0.590, 0.929, 0.250], [0.929, 0.590, 0.250]]
}